(1)
Density functional theory data (SCAN) for a PBEsol-optimized structure of YInGe2Cl.

a = 5.0599 Å, b = 5.4796 Å, c = 5.4796 Å
α = 90.00°, β = 90.00°, γ = 90.00°
With the nearest neighbours (Å) after each atom.
Atoms (fractional coordinates):
In  0.5000  0.5000  0.5000  8 Ge 3.73, 4 Cl 3.87
Ge  0.0000  0.5000  0.0000  2 Y 2.74
Cl  0.5000  0.0000  0.0000  2 Y 2.53
Ge  0.0000  0.0000  0.5000  2 Y 2.74
Y  0.0000  0.0000  0.0000  2 Cl 2.53, 4 Ge 2.74

V: 30.39 A^3/atom
Crystal system: tetragonal
Size of the total moment: 0.00 μB/atom
Electronic total energy: -21.468 eV/atom
Raw formation energy: 0.01 eV per atom

***

(2)
Density functional theory data (SCAN) for a PBEsol-optimized structure of Fe2Tc.

a = 4.0050 Å, b = 4.3846 Å, c = 4.4083 Å
α = 119.82°, β = 90.00°, γ = 90.00°
With the nearest neighbours (Å) after each atom.
Atoms (fractional coordinates):
Fe  0.2500  0.8375  0.3475  7 Fe 2.44-2.66, 5 Tc 2.48-2.64
Tc  0.7500  0.8150  0.0000  10 Fe 2.48-2.64, 2 Tc 2.58
Fe  0.2500  0.4900  0.6525  7 Fe 2.44-2.66, 5 Tc 2.48-2.64
Fe  0.7500  0.1625  0.6525  7 Fe 2.44-2.66, 5 Tc 2.48-2.64
Tc  0.2500  0.1850  0.0000  10 Fe 2.48-2.64, 2 Tc 2.58
Fe  0.7500  0.5100  0.3475  7 Fe 2.44-2.66, 5 Tc 2.48-2.64

V: 11.19 A^3/atom
Crystal system: orthorhombic
Size of the total moment: 0.00 μB/atom
Electronic total energy: -23.486 eV/atom
Formation energy from the elements: 287 meV per atom

***

(3)
Density functional theory data (SCAN) for a PBEsol-optimized structure of FeSi2Ru.

a = 2.8324 Å, b = 2.8324 Å, c = 5.6280 Å
α = 90.00°, β = 90.00°, γ = 90.00°
With the nearest neighbours (Å) after each atom.
Atoms (fractional coordinates):
Si  0.0000  0.0000  0.7641  4 Fe 2.40, 4 Ru 2.49, 1 Si 2.66
Fe  0.5000  0.5000  0.0000  8 Si 2.40
Si  0.0000  0.0000  0.2359  4 Fe 2.40, 4 Ru 2.49, 1 Si 2.66
Ru  0.5000  0.5000  0.5000  8 Si 2.49

V: 11.29 A^3/atom
Crystal system: tetragonal
Size of the total moment: 0.00 μB/atom
Electronic total energy: -18.815 eV/atom
Raw formation energy: -0.57 eV per atom

***

(4)
Density functional theory data (SCAN) for a PBEsol-optimized structure of CdP2Pb.

a = 4.3972 Å, b = 4.4810 Å, c = 4.4821 Å
α = 102.62°, β = 90.00°, γ = 90.00°
With the nearest neighbours (Å) after each atom.
Atoms (fractional coordinates):
Pb  0.0000  0.5208  0.4790  5 P 2.84-3.03, 2 Cd 3.07
Cd  0.5000  0.2147  0.7856  5 P 2.82-2.88, 2 Pb 3.07
P  0.5000  0.8113  0.1889  2 P 2.41
P  0.0000  0.9533  0.0466  2 P 2.41

V: 21.55 A^3/atom
Crystal system: orthorhombic
Size of the total moment: 0.00 μB/atom
Electronic total energy: -31.459 eV/atom
Formation energy from the elements: 289 meV per atom

***

(5)
Density functional theory data (SCAN) for a PBEsol-optimized structure of TaSi2Ir.

a = 2.7887 Å, b = 3.2907 Å, c = 6.1305 Å
α = 90.00°, β = 90.00°, γ = 90.00°
With the nearest neighbours (Å) after each atom.
Atoms (fractional coordinates):
Ta  0.5000  0.5000  0.0000  8 Si 2.72, 2 Ta 2.79
Ir  0.5000  0.5000  0.5000  8 Si 2.58, 2 Ir 2.79
Si  0.0000  0.0000  0.2699  4 Ir 2.58, 4 Ta 2.72, 3 Si 2.79-2.82
Si  0.0000  0.0000  0.7301  4 Ir 2.58, 4 Ta 2.72, 3 Si 2.79-2.82

V: 14.06 A^3/atom
Crystal system: orthorhombic
Size of the total moment: 0.00 μB/atom
Electronic total energy: -39.747 eV/atom
Raw formation energy: -0.32 eV per atom

***

(6)
Density functional theory data (SCAN) for a PBEsol-optimized structure of Al2O3.

a = 5.6203 Å, b = 5.6203 Å, c = 12.3025 Å
α = 77.64°, β = 77.64°, γ = 89.93°
With the nearest neighbours (Å) after each atom.
Atoms (fractional coordinates):
O  0.8953  0.9222  0.1639  4 Al 1.82-1.96
Al  0.6508  0.1707  0.1597  6 O 1.84-1.97
O  0.0836  0.5697  0.3237  3 Al 1.76-1.84
O  0.4303  0.9164  0.1763  3 Al 1.76-1.84
Al  0.8293  0.3492  0.3403  6 O 1.84-1.97
Al  0.4634  0.1907  0.5828  4 O 1.76-1.84
O  0.1047  0.0778  0.8361  4 Al 1.82-1.96
Al  0.6788  0.6512  0.6581  6 O 1.82-2.02
O  0.7583  0.2337  0.4955  3 Al 1.76-1.89
Al  0.0000  0.0000  0.0000  6 O 1.89-1.93
O  0.2417  0.7663  0.5045  3 Al 1.76-1.89
O  0.8832  0.4164  0.1750  4 Al 1.84-1.97
Al  0.3488  0.3212  0.8419  6 O 1.82-2.02
O  0.1168  0.5836  0.8250  4 Al 1.84-1.97
O  0.4193  0.4221  0.6696  4 Al 1.84-2.02
Al  0.8093  0.5366  0.9172  4 O 1.76-1.84
O  0.7663  0.2417  0.0045  3 Al 1.76-1.89
O  0.2319  0.2485  0.9961  3 Al 1.76-1.90
O  0.4164  0.8832  0.6750  4 Al 1.84-1.97
Al  0.1707  0.6508  0.6597  6 O 1.84-1.97
Al  0.5366  0.8093  0.4172  4 O 1.76-1.84
O  0.9222  0.8953  0.6639  4 Al 1.82-1.96
Al  0.3212  0.3488  0.3419  6 O 1.82-2.02
O  0.9164  0.4303  0.6763  3 Al 1.76-1.84
O  0.7681  0.7515  0.0039  3 Al 1.76-1.90
O  0.5779  0.5807  0.8304  4 Al 1.84-2.02
O  0.5697  0.0836  0.8237  3 Al 1.76-1.84
O  0.7515  0.7681  0.5039  3 Al 1.76-1.90
Al  0.1239  0.8761  0.2500  4 O 1.76-1.82
O  0.5836  0.1168  0.3250  4 Al 1.84-1.97
O  0.0778  0.1047  0.3361  4 Al 1.82-1.96
Al  0.1907  0.4634  0.0828  4 O 1.76-1.84
Al  0.8761  0.1239  0.7500  4 O 1.76-1.82
O  0.2337  0.7583  0.9955  3 Al 1.76-1.89
Al  0.3492  0.8293  0.8403  6 O 1.84-1.97
O  0.4221  0.4193  0.1696  4 Al 1.84-2.02
O  0.2485  0.2319  0.4961  3 Al 1.76-1.90
Al  0.6512  0.6788  0.1581  6 O 1.82-2.02
Al  0.0000  0.0000  0.5000  6 O 1.89-1.93
O  0.5807  0.5779  0.3304  4 Al 1.84-2.02

V: 9.26 A^3/atom
Crystal system: monoclinic
Size of the total moment: 0.00 μB/atom
Electronic total energy: -10.163 eV/atom
Raw formation energy: -3.32 eV per atom

***

(7)
Density functional theory data (SCAN) for a PBEsol-optimized structure of InOs2Pt.

a = 3.9911 Å, b = 3.9911 Å, c = 4.7715 Å
α = 114.72°, β = 114.72°, γ = 90.00°
With the nearest neighbours (Å) after each atom.
Atoms (fractional coordinates):
Os  0.7500  0.2500  0.5000  4 Pt 2.77, 4 Os 2.77, 4 In 2.82
In  0.2500  0.7500  0.5000  4 Pt 2.77, 8 Os 2.77-2.82
Os  0.0000  0.0000  0.0000  4 In 2.77, 4 Os 2.77, 4 Pt 2.82
Pt  0.5000  0.5000  0.0000  4 In 2.77, 8 Os 2.77-2.82

V: 15.32 A^3/atom
Crystal system: tetragonal
Size of the total moment: 0.00 μB/atom
Electronic total energy: -61.528 eV/atom
Formation energy from the elements: 307 meV per atom

***

(8)
Density functional theory data (SCAN) for a PBEsol-optimized structure of MoPd2Cl.

a = 4.4552 Å, b = 4.4552 Å, c = 4.4552 Å
α = 60.00°, β = 60.00°, γ = 60.00°
With the nearest neighbours (Å) after each atom.
Atoms (fractional coordinates):
Mo  0.5000  0.5000  0.5000  8 Pd 2.73
Cl  0.0000  0.0000  0.0000  8 Pd 2.73
Pd  0.2500  0.2500  0.2500  4 Cl 2.73, 4 Mo 2.73
Pd  0.7500  0.7500  0.7500  4 Cl 2.73, 4 Mo 2.73

V: 15.63 A^3/atom
Crystal system: cubic
Size of the total moment: 0.47 μB/atom
Electronic total energy: -26.387 eV/atom
Raw formation energy: 0.72 eV per atom

***

(9)
Density functional theory data (SCAN) for a PBEsol-optimized structure of YMg5.

a = 5.9038 Å, b = 5.9038 Å, c = 5.9038 Å
α = 60.00°, β = 60.00°, γ = 60.00°
With the nearest neighbours (Å) after each atom.
Atoms (fractional coordinates):
Mg  0.3745  0.8764  0.3745  6 Mg 2.94-2.96
Mg  0.3745  0.3745  0.3745  6 Mg 2.94-2.96
Y  0.0000  0.0000  0.0000  16 Mg 3.46-3.62
Mg  0.8764  0.3745  0.3745  6 Mg 2.94-2.96
Mg  0.7500  0.7500  0.7500  12 Mg 3.46, 4 Y 3.62
Mg  0.3745  0.3745  0.8764  6 Mg 2.94-2.96

V: 24.25 A^3/atom
Crystal system: cubic
Size of the total moment: 0.00 μB/atom
Electronic total energy: -8.786 eV/atom
Formation energy from the elements: -1 meV per atom

***

(10)
Density functional theory data (SCAN) for a PBEsol-optimized structure of RbCaY2Pt.

a = 5.3734 Å, b = 5.3734 Å, c = 5.3144 Å
α = 90.00°, β = 90.00°, γ = 90.00°
With the nearest neighbours (Å) after each atom.
Atoms (fractional coordinates):
Y  0.5000  0.0000  0.0000  2 Ca 2.69
Y  0.0000  0.5000  0.0000  2 Ca 2.69
Rb  0.0000  0.0000  0.5000  2 Ca 2.66
Pt  0.5000  0.5000  0.5000  8 Y 3.78, 4 Rb 3.80
Ca  0.0000  0.0000  0.0000  2 Rb 2.66, 4 Y 2.69

V: 30.69 A^3/atom
Crystal system: tetragonal
Size of the total moment: 0.00 μB/atom
Electronic total energy: -29.776 eV/atom
Formation energy from the elements: 1480 meV per atom

***

(11)
Density functional theory data (SCAN) for a PBEsol-optimized structure of AgHg2Br.

a = 3.5875 Å, b = 5.5540 Å, c = 5.6950 Å
α = 120.89°, β = 90.00°, γ = 90.00°
With the nearest neighbours (Å) after each atom.
Atoms (fractional coordinates):
Br  0.5000  0.5000  0.0000  2 Ag 2.85, 4 Hg 3.15
Ag  0.5000  0.5000  0.5000  4 Hg 2.82, 2 Br 2.85
Hg  0.0000  0.0435  0.2718  2 Ag 2.82, 2 Hg 2.88, 2 Br 3.15
Hg  0.0000  0.9565  0.7282  2 Ag 2.82, 2 Hg 2.88, 2 Br 3.15

V: 24.34 A^3/atom
Crystal system: orthorhombic
Size of the total moment: 0.00 μB/atom
Electronic total energy: -46.947 eV/atom
Raw formation energy: -0.16 eV per atom

***

(12)
Density functional theory data (SCAN) for a PBEsol-optimized structure of ZnPt2.

a = 2.7353 Å, b = 4.2211 Å, c = 7.5602 Å
α = 90.00°, β = 90.00°, γ = 90.00°
With the nearest neighbours (Å) after each atom.
Atoms (fractional coordinates):
Zn  0.5000  0.5000  0.5000  6 Pt 2.57-2.60, 2 Zn 2.74
Pt  0.2872  0.5000  0.8353  3 Zn 2.57-2.60, 7 Pt 2.74-2.83
Zn  0.0000  0.0000  0.0000  6 Pt 2.57-2.60, 2 Zn 2.74
Pt  0.7872  0.0000  0.6647  3 Zn 2.57-2.60, 7 Pt 2.74-2.83
Pt  0.2128  0.0000  0.3353  3 Zn 2.57-2.60, 7 Pt 2.74-2.83
Pt  0.7128  0.5000  0.1647  3 Zn 2.57-2.60, 7 Pt 2.74-2.83

V: 14.55 A^3/atom
Crystal system: orthorhombic
Size of the total moment: 0.00 μB/atom
Electronic total energy: -51.581 eV/atom
Formation energy from the elements: -280 meV per atom

***

(13)
Density functional theory data (SCAN) for a PBEsol-optimized structure of CaZn2Cl.

a = 3.7897 Å, b = 3.7897 Å, c = 5.9466 Å
α = 90.00°, β = 90.00°, γ = 90.00°
With the nearest neighbours (Å) after each atom.
Atoms (fractional coordinates):
Ca  0.5000  0.5000  0.5000  4 Cl 2.68
Cl  0.0000  0.0000  0.5000  4 Ca 2.68
Zn  0.5000  0.0000  0.0000  4 Zn 2.68
Zn  0.0000  0.5000  0.0000  4 Zn 2.68

V: 21.35 A^3/atom
Crystal system: tetragonal
Size of the total moment: 0.00 μB/atom
Electronic total energy: -11.835 eV/atom
Raw formation energy: -0.67 eV per atom